# 1
# Li2CaBr (GGA-PBE, relaxed)
# DOS(E_F) ... 2.36 states/eV per cell
# SG ... No. 44
# Size of the total moment ... 0.00 μB/f.u.
# Relative energy among the computed polymorphs ... 7.8 kJ per mole of atoms
data_Li2CaBr
_chemical_formula_sum 'Li2 Ca1 Br1'
_symmetry_space_group_name_H-M 'P 1'
_symmetry_Int_Tables_number 1
_cell_length_a 8.815
_cell_length_b 8.815
_cell_length_c 8.815
_cell_angle_alpha 156.77
_cell_angle_beta 155.28
_cell_angle_gamma 34.18
loop_
_symmetry_equiv_pos_as_xyz
'x,y,z'
loop_
_atom_site_label
_atom_site_fract_x
_atom_site_fract_y
_atom_site_fract_z
Li1 0.000 0.000 0.000
Li2 0.653 0.153 0.500
Ca1 0.371 0.371 0.000
Br1 0.217 0.717 0.500

---

# 2
# Li2CaBr (GGA-PBE, relaxed)
# DOS(E_F) ... 2.63 states/eV per cell
# SG ... No. 123
# Size of the total moment ... 0.00 μB/f.u.
# Relative energy among the computed polymorphs ... 16.0 kJ per mole of atoms
data_Li2CaBr
_chemical_formula_sum 'Li2 Ca1 Br1'
_symmetry_space_group_name_H-M 'P 1'
_symmetry_Int_Tables_number 1
_cell_length_a 3.952
_cell_length_b 3.952
_cell_length_c 6.820
_cell_angle_alpha 90.00
_cell_angle_beta 90.00
_cell_angle_gamma 90.00
loop_
_symmetry_equiv_pos_as_xyz
'x,y,z'
loop_
_atom_site_label
_atom_site_fract_x
_atom_site_fract_y
_atom_site_fract_z
Li1 0.000 0.000 0.224
Li2 0.000 0.000 0.776
Ca1 0.500 0.500 0.500
Br1 0.500 0.500 0.000

---

# 3
# LiCaBr2 (GGA-PBE, relaxed)
# DOS(E_F) ... 1.12 states/eV per cell
# SG ... No. 6
# Size of the total moment ... 0.88 μB/f.u.
# Relative energy among the computed polymorphs ... 1.3 kJ per mole of atoms
data_LiCaBr2
_chemical_formula_sum 'Li1 Ca1 Br2'
_symmetry_space_group_name_H-M 'P 1'
_symmetry_Int_Tables_number 1
_cell_length_a 5.834
_cell_length_b 4.125
_cell_length_c 5.991
_cell_angle_alpha 90.00
_cell_angle_beta 117.91
_cell_angle_gamma 90.00
loop_
_symmetry_equiv_pos_as_xyz
'x,y,z'
loop_
_atom_site_label
_atom_site_fract_x
_atom_site_fract_y
_atom_site_fract_z
Li1 0.000 0.000 0.000
Ca1 0.653 0.500 0.384
Br1 0.114 0.500 0.302
Br2 0.463 0.000 0.999

---

# 4
# Li2CaBr (GGA-PBE, relaxed)
# DOS(E_F) ... 2.36 states/eV per cell
# SG ... No. 6
# Size of the total moment ... 0.00 μB/f.u.
# Relative energy among the computed polymorphs ... 3.3 kJ per mole of atoms
data_Li2CaBr
_chemical_formula_sum 'Li2 Ca1 Br1'
_symmetry_space_group_name_H-M 'P 1'
_symmetry_Int_Tables_number 1
_cell_length_a 4.018
_cell_length_b 3.807
_cell_length_c 7.108
_cell_angle_alpha 90.00
_cell_angle_beta 106.38
_cell_angle_gamma 90.00
loop_
_symmetry_equiv_pos_as_xyz
'x,y,z'
loop_
_atom_site_label
_atom_site_fract_x
_atom_site_fract_y
_atom_site_fract_z
Li1 0.000 0.000 0.000
Li2 0.418 0.500 0.836
Ca1 0.648 0.500 0.299
Br1 0.261 0.000 0.524

---

# 5
# Li2Ca3Br8 (GGA-PBE, relaxed)
# DOS(E_F) ... 0.00 states/eV per cell
# SG ... No. 64
# E ... -3.653 eV/atom
# Size of the total moment ... 0.00 μB/f.u.
data_Li2Ca3Br8
_chemical_formula_sum 'Li4 Ca6 Br16'
_symmetry_space_group_name_H-M 'P 1'
_symmetry_Int_Tables_number 1
_cell_length_a 9.204
_cell_length_b 9.204
_cell_length_c 11.864
_cell_angle_alpha 90.00
_cell_angle_beta 90.00
_cell_angle_gamma 124.61
loop_
_symmetry_equiv_pos_as_xyz
'x,y,z'
loop_
_atom_site_label
_atom_site_fract_x
_atom_site_fract_y
_atom_site_fract_z
Li1 0.121 0.879 0.893
Li2 0.379 0.621 0.393
Li3 0.621 0.379 0.607
Li4 0.879 0.121 0.107
Ca1 0.000 0.000 0.500
Ca2 0.107 0.393 0.750
Ca3 0.393 0.107 0.250
Ca4 0.500 0.500 0.000
Ca5 0.607 0.893 0.750
Ca6 0.893 0.607 0.250
Br1 0.013 0.987 0.252
Br2 0.124 0.369 0.507
Br3 0.131 0.376 0.993
Br4 0.240 0.760 0.751
Br5 0.260 0.740 0.251
Br6 0.369 0.124 0.493
Br7 0.376 0.131 0.007
Br8 0.487 0.513 0.752
Br9 0.513 0.487 0.248
Br10 0.624 0.869 0.993
Br11 0.631 0.876 0.507
Br12 0.740 0.260 0.749
Br13 0.760 0.240 0.249
Br14 0.869 0.624 0.007
Br15 0.876 0.631 0.493
Br16 0.987 0.013 0.748

---

# 6
# Li2Ca2Br (GGA-PBE, relaxed)
# DOS(E_F) ... 9.31 states/eV per cell
# SG ... No. 127
# E ... -2.263 eV/atom
# Size of the total moment ... 0.00 μB/f.u.
data_Li2Ca2Br
_chemical_formula_sum 'Li4 Ca4 Br2'
_symmetry_space_group_name_H-M 'P 1'
_symmetry_Int_Tables_number 1
_cell_length_a 8.062
_cell_length_b 8.062
_cell_length_c 5.152
_cell_angle_alpha 90.00
_cell_angle_beta 90.00
_cell_angle_gamma 90.00
loop_
_symmetry_equiv_pos_as_xyz
'x,y,z'
loop_
_atom_site_label
_atom_site_fract_x
_atom_site_fract_y
_atom_site_fract_z
Li1 0.122 0.378 0.000
Li2 0.378 0.878 0.000
Li3 0.622 0.122 0.000
Li4 0.878 0.622 0.000
Ca1 0.170 0.670 0.500
Ca2 0.330 0.170 0.500
Ca3 0.670 0.830 0.500
Ca4 0.830 0.330 0.500
Br1 0.000 0.000 0.500
Br2 0.500 0.500 0.500

---

# 7
# LiCaBr2 (GGA-PBE, relaxed)
# DOS(E_F) ... 1.13 states/eV per cell
# SG ... No. 10
# Size of the total moment ... 0.29 μB/f.u.
# Relative energy among the computed polymorphs ... 5.0 kJ per mole of atoms
data_LiCaBr2
_chemical_formula_sum 'Li1 Ca1 Br2'
_symmetry_space_group_name_H-M 'P 1'
_symmetry_Int_Tables_number 1
_cell_length_a 4.207
_cell_length_b 3.784
_cell_length_c 8.107
_cell_angle_alpha 90.00
_cell_angle_beta 102.84
_cell_angle_gamma 90.00
loop_
_symmetry_equiv_pos_as_xyz
'x,y,z'
loop_
_atom_site_label
_atom_site_fract_x
_atom_site_fract_y
_atom_site_fract_z
Li1 0.000 0.000 0.000
Ca1 0.000 0.000 0.500
Br1 0.136 0.500 0.795
Br2 0.864 0.500 0.205

---

# 8
# Li2CaBr (GGA-PBE, relaxed)
# DOS(E_F) ... 4.53 states/eV per cell
# SG ... No. 122
# Size of the total moment ... 0.00 μB/f.u.
# Relative energy among the computed polymorphs ... 10.2 kJ per mole of atoms
data_Li2CaBr
_chemical_formula_sum 'Li4 Ca2 Br2'
_symmetry_space_group_name_H-M 'P 1'
_symmetry_Int_Tables_number 1
_cell_length_a 6.784
_cell_length_b 6.784
_cell_length_c 6.784
_cell_angle_alpha 101.32
_cell_angle_beta 101.32
_cell_angle_gamma 127.41
loop_
_symmetry_equiv_pos_as_xyz
'x,y,z'
loop_
_atom_site_label
_atom_site_fract_x
_atom_site_fract_y
_atom_site_fract_z
Li1 0.050 0.625 0.925
Li2 0.375 0.300 0.425
Li3 0.700 0.125 0.075
Li4 0.875 0.950 0.575
Ca1 0.250 0.750 0.500
Ca2 0.500 0.500 0.000
Br1 0.000 0.000 0.000
Br2 0.750 0.250 0.500

---

# 9
# Li2CaBr (GGA-PBE, relaxed)
# DOS(E_F) ... 2.58 states/eV per cell
# SG ... No. 10
# Size of the total moment ... 0.00 μB/f.u.
# Relative energy among the computed polymorphs ... 4.1 kJ per mole of atoms
data_Li2CaBr
_chemical_formula_sum 'Li2 Ca1 Br1'
_symmetry_space_group_name_H-M 'P 1'
_symmetry_Int_Tables_number 1
_cell_length_a 5.818
_cell_length_b 3.846
_cell_length_c 5.854
_cell_angle_alpha 90.00
_cell_angle_beta 119.25
_cell_angle_gamma 90.00
loop_
_symmetry_equiv_pos_as_xyz
'x,y,z'
loop_
_atom_site_label
_atom_site_fract_x
_atom_site_fract_y
_atom_site_fract_z
Li1 0.183 0.000 0.313
Li2 0.817 0.000 0.687
Ca1 0.500 0.500 0.000
Br1 0.000 0.500 0.500

---

# 10
# LiCaBr2 (GGA-PBE, relaxed)
# DOS(E_F) ... 0.79 states/eV per cell
# SG ... No. 12
# Size of the total moment ... 0.65 μB/f.u.
# Relative energy among the computed polymorphs ... 0.0 kJ per mole of atoms
data_LiCaBr2
_chemical_formula_sum 'Li1 Ca1 Br2'
_symmetry_space_group_name_H-M 'P 1'
_symmetry_Int_Tables_number 1
_cell_length_a 3.893
_cell_length_b 3.893
_cell_length_c 8.113
_cell_angle_alpha 103.63
_cell_angle_beta 103.63
_cell_angle_gamma 60.06
loop_
_symmetry_equiv_pos_as_xyz
'x,y,z'
loop_
_atom_site_label
_atom_site_fract_x
_atom_site_fract_y
_atom_site_fract_z
Li1 0.000 0.000 0.000
Ca1 0.500 0.500 0.500
Br1 0.265 0.265 0.795
Br2 0.735 0.735 0.205

---

# 11
# Li2CaBr4 (GGA-PBE, relaxed)
# DOS(E_F) ... 0.00 states/eV per cell
# SG ... No. 12
# E ... -3.533 eV/atom
# Size of the total moment ... 0.00 μB/f.u.
data_Li2CaBr4
_chemical_formula_sum 'Li2 Ca1 Br4'
_symmetry_space_group_name_H-M 'P 1'
_symmetry_Int_Tables_number 1
_cell_length_a 7.303
_cell_length_b 7.303
_cell_length_c 7.141
_cell_angle_alpha 103.50
_cell_angle_beta 103.50
_cell_angle_gamma 34.49
loop_
_symmetry_equiv_pos_as_xyz
'x,y,z'
loop_
_atom_site_label
_atom_site_fract_x
_atom_site_fract_y
_atom_site_fract_z
Li1 0.176 0.176 0.088
Li2 0.824 0.824 0.912
Ca1 0.500 0.500 0.500
Br1 0.115 0.115 0.392
Br2 0.365 0.365 0.109
Br3 0.635 0.635 0.891
Br4 0.885 0.885 0.608

---

# 12
# Li2CaBr (GGA-PBE, relaxed)
# DOS(E_F) ... 1.90 states/eV per cell
# SG ... No. 47
# Size of the total moment ... 0.00 μB/f.u.
# Relative energy among the computed polymorphs ... 14.3 kJ per mole of atoms
data_Li2CaBr
_chemical_formula_sum 'Li2 Ca1 Br1'
_symmetry_space_group_name_H-M 'P 1'
_symmetry_Int_Tables_number 1
_cell_length_a 3.801
_cell_length_b 4.729
_cell_length_c 6.171
_cell_angle_alpha 90.00
_cell_angle_beta 90.00
_cell_angle_gamma 90.00
loop_
_symmetry_equiv_pos_as_xyz
'x,y,z'
loop_
_atom_site_label
_atom_site_fract_x
_atom_site_fract_y
_atom_site_fract_z
Li1 0.000 0.000 0.000
Li2 0.500 0.500 0.000
Ca1 0.000 0.500 0.500
Br1 0.500 0.000 0.500

---

# 13
# Li2CaBr2 (GGA-PBE, relaxed)
# DOS(E_F) ... 0.05 states/eV per cell
# SG ... No. 139
# Size of the total moment ... 0.00 μB/f.u.
# Relative energy among the computed polymorphs ... 0.0 kJ per mole of atoms
data_Li2CaBr2
_chemical_formula_sum 'Li2 Ca1 Br2'
_symmetry_space_group_name_H-M 'P 1'
_symmetry_Int_Tables_number 1
_cell_length_a 6.426
_cell_length_b 6.426
_cell_length_c 6.426
_cell_angle_alpha 135.50
_cell_angle_beta 135.50
_cell_angle_gamma 64.75
loop_
_symmetry_equiv_pos_as_xyz
'x,y,z'
loop_
_atom_site_label
_atom_site_fract_x
_atom_site_fract_y
_atom_site_fract_z
Li1 0.143 0.143 0.000
Li2 0.857 0.857 0.000
Ca1 0.500 0.500 0.000
Br1 0.250 0.750 0.500
Br2 0.750 0.250 0.500

---

# 14
# Li2CaBr (GGA-PBE, relaxed)
# DOS(E_F) ... 2.10 states/eV per cell
# SG ... No. 225
# Size of the total moment ... 0.98 μB/f.u.
# Relative energy among the computed polymorphs ... 49.4 kJ per mole of atoms
data_Li2CaBr
_chemical_formula_sum 'Li2 Ca1 Br1'
_symmetry_space_group_name_H-M 'P 1'
_symmetry_Int_Tables_number 1
_cell_length_a 5.450
_cell_length_b 5.450
_cell_length_c 5.450
_cell_angle_alpha 60.00
_cell_angle_beta 60.00
_cell_angle_gamma 60.00
loop_
_symmetry_equiv_pos_as_xyz
'x,y,z'
loop_
_atom_site_label
_atom_site_fract_x
_atom_site_fract_y
_atom_site_fract_z
Li1 0.250 0.250 0.250
Li2 0.750 0.750 0.750
Ca1 0.000 0.000 0.000
Br1 0.500 0.500 0.500